BeAsPt3: optimized geometry, PBEsol. Values from VASP.

Structure (Quantum ESPRESSO input):
```
&SYSTEM
  ibrav = 0, nat = 5, ntyp = 3
/
ATOMIC_SPECIES
Be 9.01 Be.upf
As 74.92 As.upf
Pt 195.08 Pt.upf
ATOMIC_POSITIONS crystal
Be 0.000 0.000 0.000
As 0.500 0.500 0.500
Pt 0.000 0.000 0.500
Pt 0.000 0.500 0.000
Pt 0.500 0.000 0.000
CELL_PARAMETERS angstrom
4.231 0.000 0.000
0.000 4.231 0.000
0.000 0.000 4.231
```

Calculated values
Total moment, μB/f.u.: 0.000
Symmetry: Pm-3m
DFT total energy, eV/atom: -5.82


Cr3NiP4O16: optimized geometry, PBEsol. Values from VASP.

Structure (Quantum ESPRESSO input):
```
&SYSTEM
  ibrav = 0, nat = 24, ntyp = 4
/
ATOMIC_SPECIES
Cr 52.00 Cr.upf
Ni 58.69 Ni.upf
P 30.97 P.upf
O 16.00 O.upf
ATOMIC_POSITIONS crystal
Cr 0.000 0.000 0.000
Cr 0.088 0.500 0.540
Cr 0.592 0.000 0.501
Ni 0.495 0.500 0.040
P 0.152 0.000 0.682
P 0.434 0.000 0.179
P 0.650 0.500 0.357
P 0.952 0.500 0.860
O 0.225 0.000 0.834
O 0.274 0.211 0.103
O 0.274 0.500 0.875
O 0.274 0.789 0.103
O 0.306 0.212 0.602
O 0.306 0.788 0.602
O 0.329 0.500 0.384
O 0.374 0.000 0.333
O 0.722 0.500 0.207
O 0.756 0.000 0.155
O 0.800 0.284 0.936
O 0.800 0.716 0.936
O 0.806 0.288 0.439
O 0.806 0.712 0.439
O 0.830 0.000 0.660
O 0.874 0.500 0.707
CELL_PARAMETERS angstrom
4.667 0.000 0.000
0.000 5.594 0.000
-0.010 0.000 9.714
```

Calculated values
Total moment, μB/f.u.: 9.988
Symmetry: Pm
Formation energy (no corrections), eV per atom: -1.94


CoNiRh2: optimized geometry, PBEsol. Values from VASP.

Structure (Quantum ESPRESSO input):
```
&SYSTEM
  ibrav = 0, nat = 8, ntyp = 3
/
ATOMIC_SPECIES
Co 58.93 Co.upf
Ni 58.69 Ni.upf
Rh 102.91 Rh.upf
ATOMIC_POSITIONS crystal
Co 0.000 0.000 0.000
Co 0.500 0.500 0.000
Ni 0.245 0.500 0.242
Ni 0.745 0.000 0.242
Rh 0.251 0.000 0.753
Rh 0.497 0.000 0.491
Rh 0.751 0.500 0.753
Rh 0.997 0.500 0.491
CELL_PARAMETERS angstrom
8.573 0.000 0.000
0.000 2.607 0.000
-0.830 0.000 4.321
```

Calculated values
Total moment, μB/f.u.: 2.497
Energy above the most stable polymorph in this dataset, eV/atom: 0.0108
Symmetry: Cm